Entry 1:
Density functional theory data (GGA-PBE) for crystalline Mg2BiPd at its relaxed geometry.

Properties
Spin magnetization: 0.00 μB/f.u.
Crystal system: tetragonal
Calculated density: 6.98 g/cm3
ΔE_f: -421 meV/atom

Cell lengths 3.299, 3.299, 7.958 Å; angles 90.00, 90.00, 90.00 degrees
Sites, in units of the cell vectors:
Pd1 0.500 0.500 0.000
Mg1 0.000 0.000 0.189
Mg2 0.000 0.000 0.811
Bi1 0.500 0.500 0.500

Entry 2:
Density functional theory data (GGA-PBE) for crystalline MgBiPd2 at its relaxed geometry.

Properties
Spin magnetization: 0.00 μB/f.u.
Crystal system: orthorhombic
Calculated density: 8.86 g/cm3
ΔE_f: 74 meV/atom

Cell lengths 6.140, 6.140, 6.140 Å; angles 57.32, 150.78, 131.84 degrees
Sites, in units of the cell vectors:
Pd1 0.000 0.757 0.757
Bi1 0.000 0.500 0.500
Pd2 0.000 0.243 0.243
Mg1 0.000 0.000 0.000

Entry 3:
Density functional theory data (GGA-PBE) for crystalline MgBi2Pd5 at its relaxed geometry.

Properties
Spin magnetization: 0.00 μB/f.u.
Crystal system: tetragonal
Calculated density: 10.88 g/cm3
ΔE_f: -341 meV/atom

Cell lengths 4.894, 4.894, 7.109 Å; angles 110.13, 110.13, 90.00 degrees
Sites, in units of the cell vectors:
Pd1 0.885 0.385 0.769
Bi1 0.737 0.737 0.473
Pd2 0.500 0.500 0.000
Mg1 0.000 0.000 0.000
Pd3 0.115 0.615 0.231
Bi2 0.263 0.263 0.527
Pd4 0.385 0.885 0.769
Pd5 0.615 0.115 0.231

Which value of ΔE_f does entry 3 give?
-341 meV/atom